Computed, not measured: a geometry-optimized HoTlAu2 structure at the PBE level of DFT.

- SG: R-3m
- M_tot: 0.00 μB/f.u.
- Calculated total energy: -0.28036 Ry/atom
- E_form: -0.44 eV/atom

Unit cell a=4.085 b=4.085 c=7.498 alpha=74.19 beta=74.19 gamma=60.00
Sites, in units of the cell vectors:
Au 0.248 0.248 0.255
Tl 0.000 0.000 0.000
Ho 0.500 0.500 0.500
Au 0.752 0.752 0.745

Computed, not measured: a geometry-optimized ErScPbAu structure at the PBE level of DFT.

- SG: F-43m
- M_tot: 0.75 μB/f.u.
- Calculated total energy: -0.36952 Ry/atom
- E_form: -0.56 eV/atom

Unit cell a=5.109 b=5.109 c=5.109 alpha=60.00 beta=60.00 gamma=60.00
Sites, in units of the cell vectors:
Au 0.000 0.000 0.000
Sc 0.250 0.250 0.250
Pb 0.500 0.500 0.500
Er 0.750 0.750 0.750

Computed, not measured: a geometry-optimized RbIn2GaF6 structure at the PBE level of DFT.

- SG: P1
- M_tot: 0.00 μB/f.u.
- Calculated total energy: -0.31641 Ry/atom

Unit cell a=7.136 b=6.720 c=6.397 alpha=55.17 beta=58.34 gamma=59.56
Sites, in units of the cell vectors:
F 0.891 0.700 0.222
F 0.320 0.802 0.721
In 0.459 0.520 0.501
F 0.881 0.134 0.668
In 0.039 0.005 0.951
F 0.153 0.335 0.626
Ga 0.143 0.304 0.286
Rb 0.736 0.768 0.718
F 0.258 0.865 0.164
F 0.780 0.228 0.157

Computed, not measured: a geometry-optimized V5Cr4Au structure at the PBE level of DFT.

- SG: P4/mmm
- M_tot: 0.12 μB/f.u.
- Calculated total energy: -0.64530 Ry/atom
- E_form: -0.04 eV/atom

Unit cell a=2.927 b=2.927 c=15.327 alpha=90.00 beta=90.00 gamma=90.00
Sites, in units of the cell vectors:
Cr 0.000 0.000 0.595
Au 0.000 0.000 0.000
V 0.500 0.500 0.874
Cr 0.000 0.000 0.786
V 0.500 0.500 0.500
V 0.500 0.500 0.126
Cr 0.000 0.000 0.214
V 0.500 0.500 0.310
Cr 0.000 0.000 0.405
V 0.500 0.500 0.690

Computed, not measured: a geometry-optimized ScCdO2F structure at the PBE level of DFT.

- SG: P4/mmm
- M_tot: 0.00 μB/f.u.
- Calculated total energy: -0.44837 Ry/atom

Unit cell a=4.132 b=4.132 c=3.979 alpha=90.00 beta=90.00 gamma=90.00
Sites, in units of the cell vectors:
F 0.000 0.000 0.500
O 0.500 0.000 0.000
Sc 0.000 0.000 0.000
O 0.000 0.500 0.000
Cd 0.500 0.500 0.500

Computed, not measured: a geometry-optimized ZrAg2Pb structure at the PBE level of DFT.

- SG: P4/mmm
- M_tot: 0.35 μB/f.u.
- Calculated total energy: -0.32707 Ry/atom
- E_form: 0.04 eV/atom

Unit cell a=3.289 b=3.289 c=8.190 alpha=90.00 beta=90.00 gamma=90.07
Sites, in units of the cell vectors:
Pb 0.500 0.500 0.250
Zr 0.500 0.500 0.750
Ag 0.000 0.000 0.517
Ag 0.000 0.000 0.983

Computed, not measured: a geometry-optimized MgTeWN2 structure at the PBE level of DFT.

- SG: P4/mmm
- M_tot: 0.00 μB/f.u.
- Calculated total energy: -0.36092 Ry/atom
- Excess energy over the best structure of this formula in the dataset: 41.85 kcal/mol of atoms

Unit cell a=3.954 b=3.954 c=5.321 alpha=90.00 beta=90.00 gamma=90.00
Sites, in units of the cell vectors:
N 0.000 0.500 0.000
N 0.500 0.000 0.000
W 0.500 0.500 0.500
Mg 0.000 0.000 0.000
Te 0.000 0.000 0.500

Computed, not measured: a geometry-optimized PrCd11Hg structure at the PBE level of DFT.

- SG: C2/m
- M_tot: 0.00 μB/f.u.
- Calculated total energy: -0.09390 Ry/atom
- E_form: -0.11 eV/atom

Unit cell a=6.041 b=7.674 c=7.682 alpha=81.17 beta=66.85 gamma=67.02
Sites, in units of the cell vectors:
Pr 0.000 0.000 0.000
Cd 0.500 0.000 0.500
Cd 0.502 0.787 0.214
Cd 0.000 0.000 0.500
Cd 0.498 0.213 0.786
Cd 0.000 0.500 0.000
Cd 0.003 0.351 0.647
Cd 0.650 0.351 0.353
Cd 0.350 0.649 0.647
Cd 0.997 0.649 0.353
Cd 0.284 0.213 0.214
Hg 0.500 0.500 0.000
Cd 0.716 0.787 0.786

> Look up the M_tot of the sixth one.

0.35 μB/f.u.